Record 1
Material: SbIr3Pd
Method: DFT, GGA-PBE
State: relaxed

Results
**Total DFT energy (no corrections)**: -0.19730 hartree per atom
**Crystal system**: cubic
**Offset from the most stable computed form**: 0.000 eV/atom
**Theoretical density**: 11.9 g cm⁻³

a b c (Å): 4.8235 4.8235 4.8235
angles (deg): 90.00 90.00 90.00
Closest atoms and distances in Å follow each position.
Space group Pm-3m (No. 221)
Inequivalent atoms, fractional coordinates:
Sb 0.0000 0.0000 0.0000 [1 per cell]  6 Ir 2.41
Ir 0.0000 0.0000 0.5000 [3 per cell]  2 Sb 2.41
Pd 0.5000 0.5000 0.5000 [1 per cell]  12 Ir 3.41

=====

Record 2
Material: Sb2IrPd
Method: DFT, GGA-PBE
State: relaxed

Results
**Total DFT energy (no corrections)**: -0.20240 hartree per atom
**Crystal system**: trigonal
**Offset from the most stable computed form**: 0.079 eV/atom
**Theoretical density**: 9.6 g cm⁻³

a b c (Å): 3.5663 3.5663 25.6216
angles (deg): 90.00 90.00 120.00
Closest atoms and distances in Å follow each position.
Space group R-3m (No. 166, hexagonal axes)
Inequivalent atoms, fractional coordinates:
Sb 0.0000 0.0000 0.1003 [6 per cell]  1 Pd 2.57, 3 Ir 2.67
Ir 0.0000 0.0000 0.5000 [3 per cell]  6 Sb 2.67
Pd 0.0000 0.0000 0.0000 [3 per cell]  2 Sb 2.57

=====

Record 3
Material: Sb2IrPd
Method: DFT, GGA-PBE
State: relaxed

Results
**Total DFT energy (no corrections)**: -0.20530 hartree per atom
**Crystal system**: cubic
**Offset from the most stable computed form**: 0.000 eV/atom
**Theoretical density**: 11.9 g cm⁻³

a b c (Å): 6.7195 6.7195 6.7195
angles (deg): 90.00 90.00 90.00
Closest atoms and distances in Å follow each position.
Space group Fm-3m (No. 225)
Inequivalent atoms, fractional coordinates:
Sb 0.2500 0.2500 0.2500 [8 per cell]  4 Ir 2.91, 4 Pd 2.91
Ir 0.0000 0.0000 0.0000 [4 per cell]  8 Sb 2.91
Pd 0.0000 0.0000 0.5000 [4 per cell]  8 Sb 2.91

=====

Record 4
Material: Sb2IrPd
Method: DFT, GGA-PBE
State: relaxed

Results
**Total DFT energy (no corrections)**: -0.20332 hartree per atom
**Crystal system**: tetragonal
**Offset from the most stable computed form**: 0.054 eV/atom
**Theoretical density**: 8.6 g cm⁻³

a b c (Å): 6.3013 6.3013 10.5778
angles (deg): 90.00 90.00 90.00
Closest atoms and distances in Å follow each position.
Space group I-42d (No. 122)
Inequivalent atoms, fractional coordinates:
Sb 0.2405 0.2500 0.1250 [8 per cell]  2 Ir 2.55, 2 Pd 2.63
Ir 0.0000 0.0000 0.0000 [4 per cell]  4 Sb 2.55
Pd 0.0000 0.0000 0.5000 [4 per cell]  4 Sb 2.63

=====

Record 5
Material: Sb6IrPd2
Method: DFT, GGA-PBE
State: relaxed

Results
**Total DFT energy (no corrections)**: -0.18969 hartree per atom
**Crystal system**: trigonal
**Theoretical density**: 8.7 g cm⁻³

a b c (Å): 6.8664 6.8664 5.2989
angles (deg): 90.00 90.00 120.00
Closest atoms and distances in Å follow each position.
Space group P-31m (No. 162)
Inequivalent atoms, fractional coordinates:
Sb 0.0000 0.3524 0.2191 [6 per cell]  2 Pd 2.68, 1 Ir 2.68
Ir 0.0000 0.0000 0.0000 [1 per cell]  6 Sb 2.68
Pd 0.3333 0.6667 0.5000 [2 per cell]  6 Sb 2.68

=====

Record 6
Material: Sb4IrPd
Method: DFT, GGA-PBE
State: relaxed

Results
**Total DFT energy (no corrections)**: -0.19862 hartree per atom
**Crystal system**: monoclinic
**Theoretical density**: 9.4 g cm⁻³

a b c (Å): 6.5029 6.5616 6.5318
angles (deg): 90.00 92.57 90.00
Closest atoms and distances in Å follow each position.
Space group P2_1/c (No. 14)
Inequivalent atoms, fractional coordinates:
Sb 0.1181 0.1293 0.1356 [4 per cell]  2 Ir 2.67-2.69, 1 Pd 2.81, 1 Sb 2.85
Sb 0.3704 0.6304 0.1156 [4 per cell]  1 Ir 2.63, 2 Pd 2.69-2.75, 1 Sb 2.88
Ir 0.0000 0.0000 0.5000 [2 per cell]  6 Sb 2.63-2.69
Pd 0.5000 0.0000 0.0000 [2 per cell]  6 Sb 2.69-2.81

=====

Number 1: uncorrected formation energy 1.81 eV/atom. Number 2: uncorrected formation energy 0.07 eV/atom. Number 3: uncorrected formation energy -0.01 eV/atom. Number 4: uncorrected formation energy 0.04 eV/atom. Number 5: uncorrected formation energy -0.27 eV/atom. Number 6: uncorrected formation energy -0.31 eV/atom.